Record 1
First-principles (PBE-GGA) data for crystalline YAg2Hg at its relaxed geometry, as listed in Alexandria via LeMat-Bulk.

Results
space group = Pm
energy = -13.07 eV for the cell shown

Lattice parameters (Å, degrees): 4.879 3.294 5.739 90.52 90.00 90.00
Fractional coordinates of all 4 atoms:
Ag 0.000 0.257 0.999
Ag 0.500 0.250 0.244
Hg 0.000 0.244 0.501
Y 0.500 0.749 0.756

=====

Record 2
First-principles (PBE-GGA) data for crystalline Y4AgHg5 at its relaxed geometry, as listed in Alexandria via LeMat-Bulk.

Results
distance to the lowest polymorph of the same formula = 0.000 eV per atom
space group = C2/m

Lattice parameters (Å, degrees): 5.146 6.306 8.318 103.71 108.02 90.00
Fractional coordinates of all 10 atoms:
Y 0.689 0.317 0.378
Y 0.094 0.842 0.188
Y 0.311 0.683 0.622
Y 0.906 0.158 0.812
Ag 0.500 0.000 0.000
Hg 0.288 0.166 0.576
Hg 0.102 0.357 0.203
Hg 0.898 0.643 0.797
Hg 0.500 0.500 0.000
Hg 0.712 0.834 0.424

=====

Record 3
First-principles (PBE-GGA) data for crystalline Y3Ag2Hg4 at its relaxed geometry, as listed in Alexandria via LeMat-Bulk.

Results
distance to the lowest polymorph of the same formula = 0.032 eV per atom
space group = C2/m

Lattice parameters (Å, degrees): 5.213 5.378 9.089 101.48 90.00 118.99
Fractional coordinates of all 9 atoms:
Y 0.371 0.742 0.635
Y 0.000 0.000 0.000
Y 0.629 0.258 0.365
Ag 0.278 0.556 0.285
Ag 0.722 0.444 0.715
Hg 0.673 0.346 0.029
Hg 0.047 0.095 0.668
Hg 0.953 0.905 0.332
Hg 0.327 0.654 0.971

=====

Record 4
First-principles (PBE-GGA) data for crystalline YAgHg3 at its relaxed geometry, as listed in Alexandria via LeMat-Bulk.

Results
distance to the lowest polymorph of the same formula = 0.468 eV per atom
space group = Pm-3m

Lattice parameters (Å, degrees): 5.206 5.206 5.206 90.00 90.00 90.00
Fractional coordinates of all 5 atoms:
Y 0.500 0.500 0.500
Hg 0.000 0.500 0.000
Hg 0.000 0.000 0.500
Hg 0.500 0.000 0.000
Ag 0.000 0.000 0.000

=====

Record 5
First-principles (PBE-GGA) data for crystalline YAg2Hg at its relaxed geometry, as listed in Alexandria via LeMat-Bulk.

Results
space group = I-42d
energy = -24.75 eV for the cell shown

Lattice parameters (Å, degrees): 8.091 8.091 6.446 51.13 51.13 90.00
Fractional coordinates of all 8 atoms:
Y 0.500 0.500 0.000
Y 0.250 0.750 0.500
Hg 0.000 0.000 0.000
Hg 0.750 0.250 0.500
Ag 0.644 0.125 0.250
Ag 0.106 0.625 0.250
Ag 0.375 0.356 0.750
Ag 0.875 0.894 0.750

=====

Record 6
First-principles (PBE-GGA) data for crystalline Y2Ag3Hg at its relaxed geometry, as listed in Alexandria via LeMat-Bulk.

Results
distance to the lowest polymorph of the same formula = 0.000 eV per atom
space group = Fmmm

Lattice parameters (Å, degrees): 5.892 5.892 9.035 102.26 102.26 110.41
Fractional coordinates of all 12 atoms:
Y 0.250 0.750 0.500
Y 0.752 0.752 0.000
Y 0.750 0.250 0.500
Y 0.248 0.248 0.000
Ag 0.331 0.835 0.165
Ag 0.165 0.669 0.835
Ag 0.669 0.165 0.835
Ag 0.835 0.331 0.165
Ag 0.165 0.165 0.330
Ag 0.835 0.835 0.670
Hg 0.667 0.667 0.333
Hg 0.333 0.333 0.667

=====

Record 7
First-principles (PBE-GGA) data for crystalline Y4AgHg at its relaxed geometry, as listed in Alexandria via LeMat-Bulk.

Results
distance to the lowest polymorph of the same formula = 0.437 eV per atom
space group = F-43m

Lattice parameters (Å, degrees): 6.261 6.261 6.261 60.00 60.00 60.00
Fractional coordinates of all 6 atoms:
Y 0.876 0.375 0.375
Y 0.375 0.375 0.876
Y 0.375 0.876 0.375
Y 0.375 0.375 0.375
Ag 0.750 0.750 0.750
Hg 0.000 0.000 0.000

=====

Record 8
First-principles (PBE-GGA) data for crystalline Y2Ag3Hg at its relaxed geometry, as listed in Alexandria via LeMat-Bulk.

Results
distance to the lowest polymorph of the same formula = 0.097 eV per atom
space group = Imm2

Lattice parameters (Å, degrees): 4.024 3.919 9.709 101.64 101.96 90.00
Fractional coordinates of all 6 atoms:
Y 0.131 0.131 0.262
Y 0.866 0.366 0.732
Ag 0.701 0.701 0.403
Ag 0.554 0.554 0.109
Ag 0.297 0.797 0.594
Hg 0.450 0.950 0.900